Mg2TaAs2: optimized geometry, GGA-PBE.

```
data_Mg2TaAs2
_chemical_formula_sum 'Mg4 Ta2 As4'
_space_group_name_H-M_alt 'P 4/m b m'
_space_group_IT_number 127
_space_group_name_Hall '-P 4 2ab'
_cell_length_a 6.9189
_cell_length_b 6.9189
_cell_length_c 3.8799
_cell_angle_alpha 90.00
_cell_angle_beta 90.00
_cell_angle_gamma 90.00
loop_
_atom_site_label
_atom_site_type_symbol
_atom_site_fract_x
_atom_site_fract_y
_atom_site_fract_z
Mg1 Mg 0.1604 0.3396 0.0000
Ta1 Ta 0.0000 0.0000 0.5000
As1 As 0.1510 0.6510 0.5000
```

Computed properties:
Energy of formation from the pure elements ... -0.295 eV/atom
N(E_F) ... 3.419 states/eV per cell
E_tot ... -5.1635 eV/atom


Ti3SiBi: optimized geometry, GGA-PBE.

```
data_Ti3SiBi
_chemical_formula_sum 'Ti6 Si2 Bi2'
_space_group_name_H-M_alt 'P 1 21/m 1'
_space_group_IT_number 11
_cell_length_a 7.2592
_cell_length_b 3.7096
_cell_length_c 7.3079
_cell_angle_alpha 90.00
_cell_angle_beta 111.77
_cell_angle_gamma 90.00
loop_
_space_group_symop_operation_xyz
'x,y,z'
'-x,-y,-z'
'-x,y+1/2,-z'
'x,-y+1/2,z'
loop_
_atom_site_label
_atom_site_type_symbol
_atom_site_fract_x
_atom_site_fract_y
_atom_site_fract_z
Ti1 Ti 0.0061 0.2500 0.1953
Ti2 Ti 0.3235 0.7500 0.6089
Ti3 Ti 0.3383 0.2500 0.9264
Si1 Si 0.0744 0.2500 0.5961
Bi1 Bi 0.3311 0.7500 0.2197
```

Computed properties:
N(E_F) ... 10.646 states/eV per cell
E_tot ... -6.9735 eV/atom
Offset from the most stable computed form ... 0.000 eV per atom


CrGeOs: optimized geometry, GGA-PBE.

```
data_CrGeOs
_chemical_formula_sum 'Cr2 Ge2 Os2'
_space_group_name_H-M_alt 'P 1 21/m 1'
_space_group_IT_number 11
_cell_length_a 2.7652
_cell_length_b 4.4504
_cell_length_c 6.8933
_cell_angle_alpha 90.00
_cell_angle_beta 90.46
_cell_angle_gamma 90.00
loop_
_space_group_symop_operation_xyz
'x,y,z'
'-x,-y,-z'
'-x,y+1/2,-z'
'x,-y+1/2,z'
loop_
_atom_site_label
_atom_site_type_symbol
_atom_site_fract_x
_atom_site_fract_y
_atom_site_fract_z
Cr1 Cr 0.0008 0.2500 0.4009
Ge1 Ge 0.4909 0.2500 0.0974
Os1 Os 0.4962 0.7500 0.2933
```

Computed properties:
Energy of formation from the pure elements ... 0.115 eV/atom
N(E_F) ... 5.631 states/eV per cell
E_tot ... -8.3752 eV/atom


Nd6HgPd5: optimized geometry, GGA-PBE.

```
data_Nd6HgPd5
_chemical_formula_sum 'Nd12 Hg2 Pd10'
_space_group_name_H-M_alt 'C 1 2/m 1'
_space_group_IT_number 12
_cell_length_a 7.5673
_cell_length_b 12.2432
_cell_length_c 7.3722
_cell_angle_alpha 90.00
_cell_angle_beta 107.19
_cell_angle_gamma 90.00
loop_
_space_group_symop_operation_xyz
'x,y,z'
'-x,-y,-z'
'-x,y,-z'
'x,-y,z'
'x+1/2,y+1/2,z'
'-x+1/2,-y+1/2,-z'
'-x+1/2,y+1/2,-z'
'x+1/2,-y+1/2,z'
loop_
_atom_site_label
_atom_site_type_symbol
_atom_site_fract_x
_atom_site_fract_y
_atom_site_fract_z
Nd1 Nd 0.2146 0.0000 0.2339
Nd2 Nd 0.2264 0.1773 0.7277
Hg1 Hg 0.0000 0.5000 0.0000
Pd1 Pd 0.0000 0.0000 0.5000
Pd2 Pd 0.0000 0.1799 0.0000
Pd3 Pd 0.0000 0.3574 0.5000
```

Computed properties:
Energy of formation from the pure elements ... -0.609 eV/atom
N(E_F) ... 14.539 states/eV per cell
E_tot ... -5.1815 eV/atom